1) Crystalline Na3Ti8O16 at its relaxed geometry. Source: Alexandria, functional PBEsol. Values from VASP.

Structure (Quantum ESPRESSO input):
```
&SYSTEM
  ibrav = 0, nat = 27, ntyp = 3
/
ATOMIC_SPECIES
O 16.00 O.upf
Ti 47.87 Ti.upf
Na 22.99 Na.upf
CELL_PARAMETERS angstrom
2.939 0.000 0.000
0.000 9.178 0.016
0.000 -0.001 10.684
ATOMIC_POSITIONS angstrom
O 1.469 4.311 2.357
Ti 0.000 8.574 9.534
O 1.469 7.268 9.070
O 1.469 9.043 3.062
O 0.000 4.798 8.367
O 0.000 3.869 4.585
Na 1.469 2.229 3.683
O 0.000 1.881 1.554
O 0.000 5.604 0.188
Ti 1.469 0.755 6.444
O 0.000 0.214 7.672
O 1.469 0.716 9.899
O 1.469 2.693 6.947
O 1.469 5.311 6.106
Ti 0.000 4.017 6.519
O 1.469 8.157 5.591
O 1.469 3.531 10.465
Ti 0.000 8.421 4.233
O 0.000 1.065 5.131
Ti 0.000 3.844 1.111
Na 0.000 6.951 6.990
Na 0.000 2.361 9.044
Ti 1.469 0.516 1.189
Ti 1.469 5.202 4.114
O 0.000 6.499 3.891
Ti 1.469 5.354 9.630
O 0.000 8.471 0.767
```

* Fermi-level density of states: 0.417 states/eV per atom
* calculated density: 4.1 g cm⁻³
* symmetry: Pm (6)

2) Crystalline Na3Ti8O16 at its relaxed geometry. Source: Alexandria, functional PBEsol. Values from VASP.

Structure (Quantum ESPRESSO input):
```
&SYSTEM
  ibrav = 0, nat = 54, ntyp = 3
/
ATOMIC_SPECIES
O 16.00 O.upf
Ti 47.87 Ti.upf
Na 22.99 Na.upf
CELL_PARAMETERS angstrom
-3.136 5.182 -0.012
-4.480 -2.727 -6.757
-8.197 -4.945 7.431
ATOMIC_POSITIONS angstrom
O -6.637 -0.467 4.364
O -11.708 -7.086 0.018
O -4.147 -0.472 0.029
O -8.975 -1.878 6.505
O -4.900 0.569 -2.224
Ti -5.074 -1.304 -1.524
Ti -5.791 0.037 1.090
O -5.264 -3.199 -5.822
Ti -10.539 -6.376 1.467
O -10.009 -0.501 -1.493
O -7.620 -4.620 -3.708
O -3.495 -2.121 -2.415
Ti -9.172 -3.777 2.191
O -5.478 1.727 0.024
O -3.274 3.074 -1.566
Ti -6.642 1.287 -1.530
O -9.327 -5.639 2.871
O -4.103 -0.966 -5.170
Ti -6.500 1.416 3.654
O -5.885 1.978 -5.176
O -2.527 2.012 0.660
Ti -3.733 1.279 -0.843
O -7.806 0.846 -3.083
O -7.573 -4.580 1.284
O -6.000 -2.136 -3.077
Na -2.621 -1.584 1.009
Ti -4.356 -2.646 -4.138
O -1.928 0.851 -1.561
Ti -6.414 -3.887 -2.205
Ti -8.425 -5.100 -0.382
Na -8.458 -1.580 -0.500
Ti -7.805 -1.178 2.916
O -9.018 -1.915 1.512
Ti -10.740 -1.186 2.185
O -9.596 -0.757 3.757
Ti -6.783 1.157 -6.714
O -10.080 -4.597 0.621
Ti -5.244 -1.387 -6.708
O -6.652 -0.487 -0.633
O -8.265 -2.956 3.762
Na -1.689 -1.028 -2.548
Na -6.708 -4.050 4.714
O -8.219 -3.459 -1.487
O -4.883 0.591 2.774
O -9.370 -5.676 -2.122
Ti -4.903 -1.222 3.660
O -5.247 -3.177 -0.824
O -7.398 0.596 2.117
Ti -9.920 -2.453 4.764
O -10.772 -2.973 3.099
O -6.044 -1.642 2.122
Na -7.526 -1.024 -4.057
Na -11.636 -3.504 -0.332
O -11.885 -1.614 0.614
```

* Fermi-level density of states: 0.342 states/eV per atom
* calculated density: 3.7 g cm⁻³
* symmetry: Pmmn (59)

Energies in eV/atom, measured from the most stable structure: 1) 0.000; 2) 0.028.